[1]
VASP calculation (PBE) on ZnIrOs2 after structural relaxation.

a = 4.818 Å, b = 4.818 Å, c = 2.717 Å
α = 90.00°, β = 90.00°, γ = 113.99°
Fractional positions:
Ir: 0.000 0.500 0.500
Os: 0.000 0.000 0.000
Os: 0.500 0.500 0.000
Zn: 0.500 0.000 0.500

Summary:
Its mass density is 18.391 g/cm3. The density of states at the Fermi level is 3.663 states/eV/cell. The total magnetic moment comes out at 0.00 μB/f.u. Its electronic total energy is -7.850 eV per atom. As for the crystal system: orthorhombic.

---

[2]
VASP calculation (PBE) on LiScSb2 after structural relaxation.

a = 3.355 Å, b = 3.355 Å, c = 8.264 Å
α = 90.00°, β = 90.00°, γ = 90.00°
Fractional positions:
Sc: 0.500 0.500 0.250
Sb: 0.000 0.000 0.003
Sb: 0.000 0.000 0.497
Li: 0.500 0.500 0.750

Summary:
The energy above the lowest structure with this stoichiometry comes out at 0.41 eV/f.u. Its mass density is 5.272 g/cm3. The value obtained for the uncorrected formation energy is -2.10 eV/f.u. The density of states at the Fermi level is 2.963 states/eV/cell. The total magnetic moment comes out at 0.00 μB/f.u. As for the crystal system: tetragonal.

---

[3]
VASP calculation (PBE) on Mg3H3Rh after structural relaxation.

a = 4.573 Å, b = 6.459 Å, c = 6.459 Å
α = 119.77°, β = 90.00°, γ = 90.00°
Fractional positions:
Mg: 0.750 0.816 0.184
Mg: 0.750 0.371 0.185
Mg: 0.250 0.184 0.816
Mg: 0.250 0.629 0.815
Mg: 0.250 0.185 0.371
Mg: 0.750 0.815 0.629
H: 0.750 0.641 0.820
H: 0.750 0.180 0.359
H: 0.250 0.359 0.180
H: 0.250 0.820 0.641
H: 0.750 0.178 0.822
H: 0.250 0.822 0.178
Rh: 0.250 0.667 0.333
Rh: 0.750 0.333 0.667

Summary:
Its mass density is 3.586 g/cm3. The density of states at the Fermi level is 1.173 states/eV/cell. The total magnetic moment comes out at 0.00 μB/f.u. Its electronic total energy is -3.394 eV per atom. As for the crystal system: orthorhombic.

---

[4]
VASP calculation (PBE) on Ac8GePt3I4 after structural relaxation.

a = 9.089 Å, b = 10.002 Å, c = 9.089 Å
α = 117.03°, β = 120.00°, γ = 90.00°
Fractional positions:
Ac: 0.235 0.688 0.953
Ac: 0.719 0.688 0.953
Ac: 0.281 0.312 0.047
Ac: 0.765 0.312 0.047
Ac: 0.729 0.688 0.459
Ac: 0.235 0.688 0.469
Ac: 0.271 0.312 0.541
Ac: 0.765 0.312 0.531
Pt: 0.500 0.500 0.500
Pt: 0.500 0.500 0.000
Pt: 0.000 0.500 0.500
Ge: 0.000 0.500 0.000
I: 0.000 0.000 0.000
I: 0.000 0.000 0.500
I: 0.500 0.000 0.000
I: 0.500 0.000 0.500

Summary:
Its mass density is 8.128 g/cm3. The value obtained for the uncorrected formation energy is -18.01 eV/f.u. The density of states at the Fermi level is 8.220 states/eV/cell. The total magnetic moment comes out at 0.00 μB/f.u. As for the crystal system: trigonal.

---

[5]
VASP calculation (PBE) on Tb3YAg4 after structural relaxation.

a = 3.631 Å, b = 5.178 Å, c = 10.357 Å
α = 90.00°, β = 90.00°, γ = 90.00°
Fractional positions:
Tb: 0.500 0.000 0.250
Tb: 0.500 0.500 0.500
Tb: 0.500 0.000 0.750
Ag: 0.000 0.500 0.750
Ag: 0.000 0.000 0.500
Ag: 0.000 0.000 0.000
Ag: 0.000 0.500 0.250
Y: 0.500 0.500 0.000

Summary:
Its mass density is 8.504 g/cm3. The density of states at the Fermi level is 4.876 states/eV/cell. The total magnetic moment comes out at 0.00 μB/f.u. Its electronic total energy is -4.287 eV per atom. As for the crystal system: orthorhombic.

---

[6]
VASP calculation (PBE) on Na2PmNpTe4 after structural relaxation.

a = 4.510 Å, b = 7.828 Å, c = 7.967 Å
α = 109.22°, β = 90.00°, γ = 90.00°
Last column: magnetic moment on the atom in μB.
Fractional positions:
Np: 0.000 0.000 0.000  3.97
Te: 0.500 0.243 0.235  -0.06
Te: 0.000 0.747 0.238  -0.03
Te: 0.000 0.253 0.762  -0.03
Te: 0.500 0.757 0.765  -0.06
Na: 0.000 0.500 0.500  0.00
Na: 0.500 0.000 0.500  0.00
Pm: 0.500 0.500 0.000  0.03

Summary:
Its mass density is 5.867 g/cm3. The value obtained for the uncorrected formation energy is -8.51 eV/f.u. The density of states at the Fermi level is 7.120 states/eV/cell. The total magnetic moment comes out at 4.00 μB/f.u. As for the crystal system: monoclinic.

---

[7]
VASP calculation (PBE) on Hf2HgCl after structural relaxation.

a = 4.848 Å, b = 4.848 Å, c = 4.848 Å
α = 60.00°, β = 60.00°, γ = 60.00°
Fractional positions:
Hf: 0.250 0.250 0.250
Hf: 0.750 0.750 0.750
Cl: 0.000 0.000 0.000
Hg: 0.500 0.500 0.500

Summary:
The energy above the lowest structure with this stoichiometry comes out at 0.00 eV/f.u. Its mass density is 12.223 g/cm3. The value obtained for the uncorrected formation energy is -0.14 eV/f.u. The density of states at the Fermi level is 5.185 states/eV/cell. The total magnetic moment comes out at 0.00 μB/f.u. As for the crystal system: cubic.

---

[8]
VASP calculation (PBE) on LaDyTh2 after structural relaxation.

a = 5.051 Å, b = 5.103 Å, c = 11.456 Å
α = 90.00°, β = 116.10°, γ = 90.00°
Fractional positions:
Th: 0.121 0.750 0.121
Th: 0.617 0.250 0.117
Th: 0.383 0.750 0.883
Th: 0.879 0.250 0.879
La: 0.636 0.750 0.636
La: 0.364 0.250 0.364
Dy: 0.136 0.250 0.636
Dy: 0.864 0.750 0.364

Summary:
The energy above the lowest structure with this stoichiometry comes out at 0.00 eV/f.u. Its mass density is 9.587 g/cm3. The density of states at the Fermi level is 12.770 states/eV/cell. The total magnetic moment comes out at 0.00 μB/f.u. As for the crystal system: monoclinic.

---

[9]
VASP calculation (PBE) on Ba2NaReI after structural relaxation.

a = 6.569 Å, b = 5.457 Å, c = 6.569 Å
α = 90.00°, β = 90.00°, γ = 90.00°
Last column: magnetic moment on the atom in μB.
Fractional positions:
I: 0.000 0.000 0.000  -0.02
Na: 0.000 0.500 0.000  -0.02
Ba: 0.000 0.000 0.500  -0.13
Ba: 0.500 0.000 0.000  -0.11
Re: 0.500 0.500 0.500  3.22

Summary:
Its mass density is 4.308 g/cm3. The value obtained for the uncorrected formation energy is 4.30 eV/f.u. The density of states at the Fermi level is 6.134 states/eV/cell. The total magnetic moment comes out at 2.73 μB/f.u. As for the crystal system: tetragonal.

---

[10]
VASP calculation (PBE) on YNb3Cd after structural relaxation.

a = 5.083 Å, b = 5.083 Å, c = 5.083 Å
α = 90.00°, β = 90.00°, γ = 90.00°
Fractional positions:
Y: 0.500 0.500 0.500
Nb: 0.000 0.000 0.500
Nb: 0.000 0.500 0.000
Nb: 0.500 0.000 0.000
Cd: 0.000 0.000 0.000

Summary:
The energy above the lowest structure with this stoichiometry comes out at 0.00 eV/f.u. Its mass density is 6.071 g/cm3. The density of states at the Fermi level is 10.739 states/eV/cell. The total magnetic moment comes out at 0.00 μB/f.u. As for the crystal system: cubic.

---

[11]
VASP calculation (PBE) on Dy6ErS8 after structural relaxation.

a = 7.791 Å, b = 7.791 Å, c = 7.791 Å
α = 60.00°, β = 60.00°, γ = 60.00°
Fractional positions:
Dy: 0.500 0.000 0.000
Dy: 0.000 0.500 0.000
Dy: 0.500 0.000 0.500
Dy: 0.500 0.500 0.000
Dy: 0.000 0.000 0.500
Dy: 0.000 0.500 0.500
S: 0.250 0.250 0.250
S: 0.751 0.249 0.751
S: 0.249 0.249 0.751
S: 0.751 0.249 0.249
S: 0.249 0.751 0.751
S: 0.751 0.751 0.249
S: 0.249 0.751 0.249
S: 0.750 0.750 0.750
Er: 0.000 0.000 0.000

Summary:
Its mass density is 6.947 g/cm3. The value obtained for the uncorrected formation energy is -30.78 eV/f.u. The density of states at the Fermi level is 6.165 states/eV/cell. The total magnetic moment comes out at 0.00 μB/f.u. As for the crystal system: cubic.

---

[12]
VASP calculation (PBE) on KGa2Au6 after structural relaxation.

a = 8.551 Å, b = 8.551 Å, c = 8.551 Å
α = 60.00°, β = 60.00°, γ = 60.00°
Fractional positions:
Au: 0.762 0.762 0.238
Au: 0.488 0.488 0.012
Au: 0.488 0.012 0.488
Au: 0.012 0.488 0.012
Au: 0.238 0.762 0.238
Au: 0.238 0.762 0.762
Au: 0.012 0.488 0.488
Au: 0.488 0.012 0.012
Au: 0.238 0.238 0.762
Au: 0.762 0.238 0.762
Au: 0.762 0.238 0.238
Au: 0.012 0.012 0.488
K: 0.500 0.500 0.500
K: 0.750 0.750 0.750
Ga: 0.125 0.625 0.125
Ga: 0.625 0.125 0.125
Ga: 0.125 0.125 0.125
Ga: 0.125 0.125 0.625

Summary:
Its mass density is 10.218 g/cm3. The density of states at the Fermi level is 7.689 states/eV/cell. The total magnetic moment comes out at 0.00 μB/f.u. Its electronic total energy is -2.966 eV per atom. As for the crystal system: cubic.